a:
The following is a PBE calculation of an optimized crystal structure of BaTiPb3, from Alexandria.

Summary:
total magnetic moment = 0.000 μB per formula unit

abc: 6.0933 6.0933 6.0933
angles: 90.00 90.00 90.00
Space group Pm-3m (No. 221)
Inequivalent atoms, fractional coordinates:
Ba 0.0000 0.0000 0.0000 [1 per cell]
Ti 0.5000 0.5000 0.5000 [1 per cell]
Pb 0.0000 0.0000 0.5000 [3 per cell]


b:
The following is a PBE calculation of an optimized crystal structure of BaTiPb3, from Alexandria.

Summary:
total magnetic moment = 0.000 μB per formula unit

abc: 5.4953 5.4953 5.4953
angles: 90.00 90.00 90.00
Space group Pm-3m (No. 221)
Inequivalent atoms, fractional coordinates:
Ba 0.0000 0.0000 0.0000 [1 per cell]
Ti 0.5000 0.5000 0.5000 [1 per cell]
Pb 0.0000 0.5000 0.5000 [3 per cell]


Name the least stable of them. a.


a:
The following is a PBE calculation of an optimized crystal structure of BaTl4Pb, from Alexandria.

Summary:
total magnetic moment = 0.000 μB per formula unit

abc: 9.3255 9.3255 9.3255
angles: 90.00 90.00 90.00
Space group F-43m (No. 216)
Inequivalent atoms, fractional coordinates:
Ba 0.0000 0.0000 0.0000 [4 per cell]
Tl 0.1241 0.1241 0.3759 [16 per cell]
Pb 0.2500 0.2500 0.7500 [4 per cell]


b:
The following is a PBE calculation of an optimized crystal structure of BaTl4Pb, from Alexandria.

Summary:
total magnetic moment = 0.000 μB per formula unit

abc: 5.4175 13.2216 5.4846
angles: 90.00 90.00 90.00
Space group Cmmm (No. 65)
Inequivalent atoms, fractional coordinates:
Ba 0.0000 0.0000 0.0000 [2 per cell]
Tl 0.0000 0.1774 0.5000 [4 per cell]
Tl 0.0000 0.3220 0.0000 [4 per cell]
Pb 0.0000 0.5000 0.5000 [2 per cell]


Name the least stable of them. a.


a:
The following is a PBE calculation of an optimized crystal structure of BaTl4Pb2, from Alexandria.

Summary:
total magnetic moment = 0.000 μB per formula unit

abc: 6.5248 8.0767 9.0105
angles: 90.00 90.00 90.00
Space group Immm (No. 71)
Inequivalent atoms, fractional coordinates:
Ba 0.0000 0.0000 0.0000 [2 per cell]
Tl 0.0000 0.3021 0.3093 [8 per cell]
Pb 0.2473 0.5000 0.0000 [4 per cell]


b:
The following is a PBE calculation of an optimized crystal structure of BaTl4Pb2, from Alexandria.

Summary:
total magnetic moment = 0.000 μB per formula unit

abc: 5.1529 19.7159 4.8815
angles: 90.00 90.00 90.00
Space group Cmmm (No. 65)
Inequivalent atoms, fractional coordinates:
Ba 0.0000 0.0000 0.0000 [2 per cell]
Tl 0.0000 0.1836 0.5000 [4 per cell]
Tl 0.0000 0.3115 0.0000 [4 per cell]
Pb 0.0000 0.4225 0.5000 [4 per cell]


Name the least stable of them. b.


a:
The following is a PBE calculation of an optimized crystal structure of BaTlPb2, from Alexandria.

Summary:
total magnetic moment = 0.000 μB per formula unit

abc: 4.8977 5.1343 11.4124
angles: 90.00 90.00 90.00
Space group Imm2 (No. 44)
Inequivalent atoms, fractional coordinates:
Ba 0.0000 0.0000 0.0000 [2 per cell]
Tl 0.0000 0.5000 0.2229 [2 per cell]
Pb 0.0000 0.0000 0.4169 [2 per cell]
Pb 0.0000 0.5000 0.7359 [2 per cell]


b:
The following is a PBE calculation of an optimized crystal structure of BaTlPb2, from Alexandria.

Summary:
total magnetic moment = 0.000 μB per formula unit

abc: 8.2280 8.2280 8.2280
angles: 90.00 90.00 90.00
Space group F-43m (No. 216)
Inequivalent atoms, fractional coordinates:
Ba 0.0000 0.0000 0.0000 [4 per cell]
Tl 0.2500 0.2500 0.2500 [4 per cell]
Pb 0.0000 0.0000 0.5000 [4 per cell]
Pb 0.2500 0.2500 0.7500 [4 per cell]


Name the least stable of them. b.


a:
The following is a PBE calculation of an optimized crystal structure of BaTlPb2, from Alexandria.

Summary:
total magnetic moment = 0.000 μB per formula unit

abc: 7.2404 10.2229 3.7664
angles: 90.00 90.00 90.00
Space group Cmmm (No. 65)
Inequivalent atoms, fractional coordinates:
Ba 0.0000 0.0000 0.0000 [2 per cell]
Tl 0.0000 0.5000 0.0000 [2 per cell]
Pb 0.2500 0.2500 0.5000 [4 per cell]


b:
The following is a PBE calculation of an optimized crystal structure of BaTlPb2, from Alexandria.

Summary:
total magnetic moment = 0.000 μB per formula unit

abc: 7.0296 11.8203 3.6592
angles: 90.00 113.44 90.00
Space group C2/m (No. 12)
Inequivalent atoms, fractional coordinates:
Ba 0.0000 0.0000 0.0000 [2 per cell]
Tl 0.0000 0.5000 0.0000 [2 per cell]
Pb 0.2500 0.2500 0.5000 [4 per cell]


c:
The following is a PBE calculation of an optimized crystal structure of BaTlPb2, from Alexandria.

Summary:
total magnetic moment = 0.000 μB per formula unit

abc: 5.3262 5.3262 22.2212
angles: 90.00 90.00 90.00
Space group I-42d (No. 122)
Inequivalent atoms, fractional coordinates:
Ba 0.0000 0.0000 0.0000 [4 per cell]
Tl 0.0000 0.0000 0.5000 [4 per cell]
Pb 0.1728 0.2500 0.6250 [8 per cell]


d:
The following is a PBE calculation of an optimized crystal structure of BaTlPb2, from Alexandria.

Summary:
total magnetic moment = 0.000 μB per formula unit

abc: 5.0788 5.0788 10.6561
angles: 90.00 90.00 90.00
Space group I4/mmm (No. 139)
Inequivalent atoms, fractional coordinates:
Ba 0.0000 0.0000 0.0000 [2 per cell]
Tl 0.0000 0.0000 0.5000 [2 per cell]
Pb 0.0000 0.5000 0.2500 [4 per cell]


Name the least stable of them. c.


a:
The following is a PBE calculation of an optimized crystal structure of BaTlPb2, from Alexandria.

Summary:
total magnetic moment = 0.000 μB per formula unit

abc: 9.4151 8.8577 6.8809
angles: 90.00 90.00 90.00
Space group Pnma (No. 62)
Inequivalent atoms, fractional coordinates:
Ba 0.0310 0.2500 0.1194 [4 per cell]
Tl 0.0923 0.7500 0.3870 [4 per cell]
Pb 0.1976 0.0563 0.6106 [8 per cell]


b:
The following is a PBE calculation of an optimized crystal structure of BaTlPb2, from Alexandria.

Summary:
total magnetic moment = 0.000 μB per formula unit

abc: 4.0301 4.5441 7.6609
angles: 90.00 90.00 90.00
Space group Pmmm (No. 47)
Inequivalent atoms, fractional coordinates:
Ba 0.0000 0.0000 0.0000 [1 per cell]
Tl 0.0000 0.0000 0.5000 [1 per cell]
Pb 0.5000 0.5000 0.2928 [2 per cell]


c:
The following is a PBE calculation of an optimized crystal structure of BaTlPb2, from Alexandria.

Summary:
total magnetic moment = 0.000 μB per formula unit

abc: 8.2240 8.2240 8.2240
angles: 90.00 90.00 90.00
Space group Fm-3m (No. 225)
Inequivalent atoms, fractional coordinates:
Ba 0.0000 0.0000 0.0000 [4 per cell]
Tl 0.0000 0.0000 0.5000 [4 per cell]
Pb 0.2500 0.2500 0.2500 [8 per cell]


d:
The following is a PBE calculation of an optimized crystal structure of BaTlPb2, from Alexandria.

Summary:
total magnetic moment = 0.000 μB per formula unit

abc: 3.9113 3.9113 32.7725
angles: 90.00 90.00 120.00
Space group R-3m (No. 166, hexagonal axes)
Inequivalent atoms, fractional coordinates:
Ba 0.0000 0.0000 0.0000 [3 per cell]
Tl 0.0000 0.0000 0.5000 [3 per cell]
Pb 0.0000 0.0000 0.2417 [6 per cell]


Name the least stable of them. d.


a:
The following is a PBE calculation of an optimized crystal structure of BaTlPb2, from Alexandria.

Summary:
total magnetic moment = 0.000 μB per formula unit

abc: 3.6992 5.7382 6.5969
angles: 90.00 91.98 90.00
Space group P2/m (No. 10)
Inequivalent atoms, fractional coordinates:
Ba 0.0000 0.0000 0.0000 [1 per cell]
Tl 0.5000 0.0000 0.5000 [1 per cell]
Pb 0.4187 0.5000 0.7490 [2 per cell]


b:
The following is a PBE calculation of an optimized crystal structure of BaTlPb2, from Alexandria.

Summary:
total magnetic moment = 0.000 μB per formula unit

abc: 4.9089 4.9830 5.8788
angles: 90.00 90.00 90.00
Space group Pmm2 (No. 25)
Inequivalent atoms, fractional coordinates:
Ba 0.0000 0.0000 0.0000 [1 per cell]
Tl 0.5000 0.0000 0.5370 [1 per cell]
Pb 0.0000 0.5000 0.5070 [1 per cell]
Pb 0.5000 0.5000 0.1498 [1 per cell]


c:
The following is a PBE calculation of an optimized crystal structure of BaTlPb2, from Alexandria.

Summary:
total magnetic moment = 0.007 μB per formula unit

abc: 3.9249 3.9249 32.3185
angles: 90.00 90.00 120.00
Space group R3m (No. 160, hexagonal axes)
Inequivalent atoms, fractional coordinates:
Ba 0.0000 0.0000 0.0000 [3 per cell]
Tl 0.0000 0.0000 0.2444 [3 per cell]
Pb 0.0000 0.0000 0.5017 [3 per cell]
Pb 0.0000 0.0000 0.7591 [3 per cell]


Name the least stable of them. c.


a:
The following is a PBE calculation of an optimized crystal structure of Ba2Tl4Pb, from Alexandria.

Summary:
total magnetic moment = 0.000 μB per formula unit

abc: 8.8012 6.2610 9.8200
angles: 90.00 109.45 90.00
Space group P2_1/m (No. 11)
Inequivalent atoms, fractional coordinates:
Ba 0.1651 0.2500 0.4838 [2 per cell]
Ba 0.3255 0.2500 0.9535 [2 per cell]
Tl 0.0243 0.7500 0.9254 [2 per cell]
Tl 0.0925 0.7500 0.2688 [2 per cell]
Tl 0.4371 0.5038 0.3193 [4 per cell]
Pb 0.2598 0.7500 0.7370 [2 per cell]


b:
The following is a PBE calculation of an optimized crystal structure of Ba2Tl4Pb, from Alexandria.

Summary:
total magnetic moment = 0.000 μB per formula unit

abc: 5.8863 5.8863 17.9104
angles: 90.00 90.00 90.00
Space group I4/mmm (No. 139)
Inequivalent atoms, fractional coordinates:
Ba 0.0000 0.0000 0.1336 [4 per cell]
Tl 0.0000 0.0000 0.3282 [4 per cell]
Tl 0.0000 0.5000 0.0000 [4 per cell]
Pb 0.0000 0.0000 0.5000 [2 per cell]


Name the least stable of them. b.


a:
The following is a PBE calculation of an optimized crystal structure of BaTl6Pb2, from Alexandria.

Summary:
total magnetic moment = 0.000 μB per formula unit

abc: 10.5702 17.2482 6.4898
angles: 90.00 97.54 90.00
Space group C2/c (No. 15)
Inequivalent atoms, fractional coordinates:
Ba 0.0000 0.2504 0.2500 [4 per cell]
Tl 0.0911 0.0774 0.9878 [8 per cell]
Tl 0.0920 0.4229 0.9868 [8 per cell]
Tl 0.1589 0.2499 0.7730 [8 per cell]
Pb 0.2497 0.0930 0.4999 [8 per cell]


b:
The following is a PBE calculation of an optimized crystal structure of BaTl6Pb2, from Alexandria.

Summary:
total magnetic moment = 0.000 μB per formula unit

abc: 6.4950 6.4950 9.2690
angles: 90.00 90.00 120.00
Space group P6/mmm (No. 191)
Inequivalent atoms, fractional coordinates:
Ba 0.0000 0.0000 0.0000 [1 per cell]
Tl 0.0000 0.5000 0.1959 [6 per cell]
Pb 0.3333 0.6667 0.5000 [2 per cell]


Name the least stable of them. b.


a:
The following is a PBE calculation of an optimized crystal structure of Ba3Tl7Pb2, from Alexandria.

Summary:
total magnetic moment = 0.000 μB per formula unit

abc: 4.9987 7.2181 13.4272
angles: 101.08 92.71 108.66
Space group P-1 (No. 2)
Inequivalent atoms, fractional coordinates:
Ba 0.0000 0.0000 0.0000 [1 per cell]
Ba 0.1660 0.3024 0.5987 [2 per cell]
Tl 0.1531 0.3250 0.3300 [2 per cell]
Tl 0.1942 0.6651 0.1727 [2 per cell]
Tl 0.4855 0.9454 0.6320 [2 per cell]
Tl 0.5000 0.5000 0.0000 [1 per cell]
Pb 0.3835 0.7400 0.8276 [2 per cell]


b:
The following is a PBE calculation of an optimized crystal structure of Ba3Tl7Pb2, from Alexandria.

Summary:
total magnetic moment = 0.000 μB per formula unit

abc: 6.6775 6.6775 32.5798
angles: 90.00 90.00 120.00
Space group R-3m (No. 166, hexagonal axes)
Inequivalent atoms, fractional coordinates:
Ba 0.0000 0.0000 0.0000 [3 per cell]
Ba 0.0000 0.0000 0.1395 [6 per cell]
Tl 0.0000 0.0000 0.5000 [3 per cell]
Tl 0.0067 0.5033 0.9160 [18 per cell]
Pb 0.0000 0.0000 0.3358 [6 per cell]


Name the least stable of them. a.